Here is a relaxed Sr2AlI crystal from Alexandria via LeMat-Bulk. Energies are from GGA-PBE.

**Electronic total energy**: -40.68 eV for the cell shown
**DOS at the Fermi energy**: 3.9 states/eV/f.u.

a = 8.310 Å, b = 8.310 Å, c = 8.310 Å
α = 90.00°, β = 90.00°, γ = 90.00°
Space group Fm-3m (No. 225)
Unique sites:
Sr 0.250 0.250 0.250 x8
Al 0.000 0.000 0.000 x4
I 0.000 0.000 0.500 x4

Here is a relaxed CaPBr4 crystal from Alexandria via LeMat-Bulk. Energies are from GGA-PBE.

**Electronic total energy**: -51.22 eV for the cell shown
**DOS at the Fermi energy**: 4.9 states/eV/f.u.

a = 9.049 Å, b = 9.049 Å, c = 9.049 Å
α = 90.00°, β = 90.00°, γ = 90.00°
Space group F-43m (No. 216)
Unique sites:
Ca 0.000 0.000 0.000 x4
P 0.250 0.250 0.750 x4
Br 0.125 0.125 0.375 x16

Here is a relaxed Ga3WC crystal from Alexandria via LeMat-Bulk. Energies are from GGA-PBE.

**DOS at the Fermi energy**: 3.9 states/eV/f.u.
**Formation enthalpy at 0 K**: 6.047 eV per formula unit

a = 4.189 Å, b = 4.189 Å, c = 4.189 Å
α = 90.00°, β = 90.00°, γ = 90.00°
Space group Pm-3m (No. 221)
Unique sites:
Ga 0.000 0.000 0.500 x3
W 0.500 0.500 0.500 x1
C 0.000 0.000 0.000 x1

Here is a relaxed NaPu2Sn crystal from Alexandria via LeMat-Bulk. Energies are from GGA-PBE.

**DOS at the Fermi energy**: 12.4 states/eV/f.u.
**Formation enthalpy at 0 K**: -0.022 eV per formula unit

a = 4.584 Å, b = 4.584 Å, c = 4.957 Å
α = 90.00°, β = 90.00°, γ = 90.00°
Space group P4/mmm (No. 123)
Unique sites:
Na 0.000 0.000 0.000 x1
Pu 0.000 0.500 0.500 x2
Sn 0.500 0.500 0.000 x1